No. 1
Entry from OQMD: a relaxed Cu3Ag5 crystal (GGA-PBE).

Summary:
For the excess energy over the best structure of this formula in the dataset, the calculation gives 48 meV per atom. The symmetry is Amm2 (38).

Lattice parameters (Å, degrees): 2.835 6.876 6.876 110.22 90.00 90.00
Atoms (fractional coordinates):
Ag (0.500, 0.362, 0.119)
Ag (0.000, 0.747, 0.247)
Ag (0.500, 0.119, 0.362)
Ag (0.000, 0.522, 0.522)
Ag (0.000, 0.247, 0.747)
Cu (0.500, 0.883, 0.642)
Cu (0.500, 0.642, 0.883)
Cu (0.000, 0.977, 0.977)

No. 2
Entry from OQMD: a relaxed Cu3Ag4 crystal (GGA-PBE).

Summary:
For the excess energy over the best structure of this formula in the dataset, the calculation gives 63 meV per atom. The symmetry is C2/m (12).

Lattice parameters (Å, degrees): 4.839 4.839 8.288 94.54 94.54 33.92
Atoms (fractional coordinates):
Ag (0.138, 0.138, 0.067)
Ag (0.714, 0.714, 0.356)
Ag (0.286, 0.286, 0.644)
Ag (0.862, 0.862, 0.933)
Cu (0.431, 0.431, 0.231)
Cu (0.000, 0.000, 0.500)
Cu (0.569, 0.569, 0.769)